DFT (PBE-GGA) results for a geometry-optimized KRe2 structure.

a b c (Å): 3.619 3.619 7.410
angles (deg): 90.00 90.00 120.00
Fractional positions:
K 0.000 0.000 0.000
Re 0.333 0.667 0.422
Re 0.667 0.333 0.578

Values from the calculation:
Space-group type: P-3m1, No. 164
Calculated volume (Å³ per atom): 28.013
Magnetization (μB/f.u.): 0.00
Calculated formation energy (eV per atom): 1.152
ΔE to the lowest computed polymorph (meV per atom): 501

---

DFT (PBE-GGA) results for a geometry-optimized CeTlPbAu structure.

a b c (Å): 5.310 5.310 5.310
angles (deg): 60.00 60.00 60.00
Fractional positions:
Ce 0.000 0.000 0.000
Tl 0.750 0.750 0.750
Pb 0.500 0.500 0.500
Au 0.250 0.250 0.250

Values from the calculation:
Space-group type: F-43m, No. 216
Calculated volume (Å³ per atom): 26.472
Magnetization (μB/f.u.): 0.90
Calculated formation energy (eV per atom): -0.299

---

DFT (PBE-GGA) results for a geometry-optimized RbAcTe4 structure.

a b c (Å): 7.143 7.143 9.508
angles (deg): 90.00 90.00 90.00
Fractional positions:
Rb 0.250 0.250 0.000
Rb 0.750 0.750 0.000
Ac 0.250 0.250 0.500
Ac 0.750 0.750 0.500
Te 0.110 0.610 0.285
Te 0.110 0.890 0.715
Te 0.390 0.610 0.715
Te 0.390 0.890 0.285
Te 0.610 0.110 0.715
Te 0.610 0.390 0.285
Te 0.890 0.110 0.285
Te 0.890 0.390 0.715

Values from the calculation:
Space-group type: P4/nbm, No. 125
Calculated volume (Å³ per atom): 40.421
Magnetization (μB/f.u.): 0.00
ΔE to the lowest computed polymorph (meV per atom): 0
Raw formation energy (eV/atom): -1.01

---

DFT (PBE-GGA) results for a geometry-optimized ScZnGa4 structure.

a b c (Å): 5.370 5.370 5.370
angles (deg): 60.00 60.00 60.00
Fractional positions:
Sc 0.000 0.000 0.000
Zn 0.750 0.750 0.750
Ga 0.375 0.375 0.375
Ga 0.375 0.375 0.875
Ga 0.375 0.875 0.375
Ga 0.875 0.375 0.375

Values from the calculation:
Space-group type: F-43m, No. 216
Calculated volume (Å³ per atom): 18.249
Magnetization (μB/f.u.): 0.00
Calculated formation energy (eV per atom): -0.117
ΔE to the lowest computed polymorph (meV per atom): 166